Entry 1:
This record from OQMD describes an optimized crystal structure of LiPaCu. The functional is PBE.

```
3
Lattice="0.000 3.173 3.173 3.173 0.000 3.173 3.173 3.173 0.000" Properties=species:S:1:pos:R:3 pbc="T T T"
Li 0.000 0.000 0.000
Pa 4.760 4.760 4.760
Cu 3.173 3.173 3.173
```

Computed properties:
Symmetry: F-43m
Total magnetic moment (μB/f.u.): 0.7



Entry 2:
This record from OQMD describes an optimized crystal structure of LiPaCu. The functional is PBE.

```
3
Lattice="0.000 3.147 3.147 3.147 0.000 3.147 3.147 3.147 0.000" Properties=species:S:1:pos:R:3 pbc="T T T"
Li 0.000 0.000 0.000
Pa 3.147 3.147 3.147
Cu 1.574 1.574 1.574
```

Computed properties:
Symmetry: F-43m
Total magnetic moment (μB/f.u.): 0.0



Entry 3:
This record from OQMD describes an optimized crystal structure of LiPaCuTe3. The functional is PBE.

```
12
Lattice="2.073 -7.346 0.000 2.073 7.346 0.000 0.000 0.000 11.231" Properties=species:S:1:pos:R:3 pbc="T T T"
Li 2.073 4.882 8.423
Li 2.073 -4.882 2.808
Pa 0.000 0.000 0.000
Pa 0.000 0.000 5.616
Cu 2.073 0.363 2.808
Cu 2.073 -0.363 8.423
Te 2.073 6.070 2.808
Te 2.073 2.122 0.821
Te 2.073 2.122 4.794
Te 2.073 -2.122 6.437
Te 2.073 -2.122 10.410
Te 2.073 -6.070 8.423
```

Computed properties:
Symmetry: Cmcm
Total magnetic moment (μB/f.u.): 1.0



Entry 4:
This record from OQMD describes an optimized crystal structure of LiCuPdPb. The functional is PBE.

```
4
Lattice="0.000 3.186 3.186 3.186 0.000 3.186 3.186 3.186 0.000" Properties=species:S:1:pos:R:3 pbc="T T T"
Li 0.000 0.000 0.000
Cu 3.186 3.186 3.186
Pd 4.780 4.780 4.780
Pb 1.593 1.593 1.593
```

Computed properties:
Symmetry: F-43m



What are the DFT total energy values for these records? In order: -11.89, -13.43, -28.77, -15.34 eV/f.u..